Entry from Alexandria via LeMat-Bulk: a geometry-optimized CsVTc2O8 structure (GGA+U).

Properties
The crystal system is trigonal. For the calculated volume, the calculation gives 20.0 Å³/atom. The calculated total energy is -7.35 eV/atom.

```
data_CsVTc2O8
_cell_length_a 5.7952
_cell_length_b 5.7952
_cell_length_c 8.2585
_cell_angle_alpha 90.00
_cell_angle_beta 90.00
_cell_angle_gamma 120.00
_symmetry_space_group_name_H-M 'P -3'
_symmetry_Int_Tables_number 147
_symmetry_space_group_name_Hall '-P 3'
loop_
_atom_site_label
_atom_site_fract_x
_atom_site_fract_y
_atom_site_fract_z
Cs1 0.0000 0.0000 0.0000
V1 0.0000 0.0000 0.5000
Tc1 0.3333 0.6667 0.7147
O1 0.1613 0.3318 0.6449
O2 0.3333 0.6667 0.9268
```



Entry from Alexandria via LeMat-Bulk: a geometry-optimized CsVTcO6 structure (GGA+U).

Properties
The crystal system is triclinic. For the calculated volume, the calculation gives 17.5 Å³/atom. The calculated total energy is -7.01 eV/atom.

```
data_CsVTcO6
_cell_length_a 5.1366
_cell_length_b 5.1470
_cell_length_c 6.6844
_cell_angle_alpha 91.06
_cell_angle_beta 92.07
_cell_angle_gamma 116.56
_symmetry_space_group_name_H-M 'P 1'
_symmetry_Int_Tables_number 1
_symmetry_space_group_name_Hall 'P 1'
loop_
_atom_site_label
_atom_site_fract_x
_atom_site_fract_y
_atom_site_fract_z
Cs1 0.0000 0.0000 0.0000
V1 0.3128 0.6566 0.5455
Tc1 0.6696 0.3317 0.4698
O1 0.3794 0.9888 0.6594
O2 0.4037 0.4301 0.3329
O3 0.5781 0.5718 0.6757
O4 0.6000 0.9996 0.3438
O5 0.9879 0.6032 0.3423
O6 0.9979 0.4020 0.6683
```



Entry from Alexandria via LeMat-Bulk: a geometry-optimized CsV2TcO8 structure (GGA+U).

Properties
The crystal system is trigonal. For the calculated volume, the calculation gives 19.2 Å³/atom. The calculated total energy is -7.24 eV/atom.

```
data_CsV2TcO8
_cell_length_a 5.6403
_cell_length_b 5.6403
_cell_length_c 8.3780
_cell_angle_alpha 90.00
_cell_angle_beta 90.00
_cell_angle_gamma 120.00
_symmetry_space_group_name_H-M 'P -3 m 1'
_symmetry_Int_Tables_number 164
_symmetry_space_group_name_Hall '-P 3 2"'
loop_
_atom_site_label
_atom_site_fract_x
_atom_site_fract_y
_atom_site_fract_z
Cs1 0.0000 0.0000 0.0000
V1 0.3333 0.6667 0.7031
Tc1 0.0000 0.0000 0.5000
O1 0.1615 0.3231 0.6347
O2 0.3333 0.6667 0.9009
```



Entry from Alexandria via LeMat-Bulk: a geometry-optimized CsTc2WO8 structure (GGA+U).

Properties
The crystal system is trigonal. For the calculated volume, the calculation gives 20.7 Å³/atom. The calculated total energy is -7.25 eV/atom.

```
data_CsTc2WO8
_cell_length_a 5.8537
_cell_length_b 5.8537
_cell_length_c 8.3772
_cell_angle_alpha 90.00
_cell_angle_beta 90.00
_cell_angle_gamma 120.00
_symmetry_space_group_name_H-M 'P -3'
_symmetry_Int_Tables_number 147
_symmetry_space_group_name_Hall '-P 3'
loop_
_atom_site_label
_atom_site_fract_x
_atom_site_fract_y
_atom_site_fract_z
Cs1 0.0000 0.0000 0.0000
Tc1 0.3333 0.6667 0.7187
W1 0.0000 0.0000 0.5000
O1 0.1641 0.3314 0.6461
O2 0.3333 0.6667 0.9278
```



Which of these has the lowest calculated volume?
CsVTcO6